1.
Density functional theory data (PBEsol) for an optimized crystal structure of Cd2BiTe2.

The space group is I4/mmm (No. 139) and the conventional cell measures 4.224, 4.224 and 16.031 Å, with angles of 90.00, 90.00 and 90.00 degrees. The asymmetric unit holds Cd at (0.000, 0.000, 0.089), Bi at (0.000, 0.000, 0.500) and Te at (0.000, 0.500, 0.250).

The density of states at the Fermi level comes out at 3.2 states/eV/f.u. The calculation puts the uncorrected formation energy at 0.189 eV/atom.

---

2.
Density functional theory data (PBEsol) for an optimized crystal structure of CdBi3Te.

The space group is Pm-3m (No. 221) and the conventional cell measures 5.793, 5.793 and 5.793 Å, with angles of 90.00, 90.00 and 90.00 degrees. The asymmetric unit holds Cd at (0.000, 0.000, 0.000), Bi at (0.000, 0.500, 0.500) and Te at (0.500, 0.500, 0.500).

The density of states at the Fermi level comes out at 5.5 states/eV/f.u. The calculation puts the uncorrected formation energy at 0.769 eV/atom.